Density functional theory data (PBE) for a geometry-optimized Pa2SnSb2 structure.

As for the formation energy (no corrections): -0.03 eV/atom.

The structure belongs to space group P6_3/mmc (No. 194); the cell edges are 4.9828, 4.9828 and 14.2159 Å and the angles 90.00°, 90.00° and 120.00°. The asymmetric unit holds Pa at (0.3333, 0.6667, 0.1505), Sn at (0.0000, 0.0000, 0.2500) and Sb at (0.3333, 0.6667, 0.5684).